Record 1
This record from Alexandria via LeMat-Bulk describes an optimized crystal structure of FeAgSb2Mo. The functional is PBE.

Total magnetic moment ... 5.4 μB per formula unit
Crystal system ... tetragonal
Formation energy without anion corrections ... 0.99 eV/atom
Volume ... 115 Å³/f.u.
DFT total energy ... -5.0923 eV per atom
Space group ... P4/mmm

Geometry as CIF:
```
data_FeAgSb2Mo
_chemical_formula_sum 'Fe1 Ag1 Sb2 Mo1'
_cell_length_a 4.826
_cell_length_b 4.826
_cell_length_c 4.937
_cell_angle_alpha 90.00
_cell_angle_beta 90.00
_cell_angle_gamma 90.00
_space_group_name_H-M_alt 'P 1'
_space_group_IT_number 1
loop_
_space_group_symop_operation_xyz
'x,y,z'
loop_
_atom_site_label
_atom_site_type_symbol
_atom_site_fract_x
_atom_site_fract_y
_atom_site_fract_z
Sb1 Sb 0.000 0.500 0.000
Sb2 Sb 0.500 0.000 0.000
Mo1 Mo 0.500 0.500 0.500
Fe1 Fe 0.000 0.000 0.000
Ag1 Ag 0.000 0.000 0.500
```


Record 2
This record from Alexandria via LeMat-Bulk describes an optimized crystal structure of FeAgTe2Mo. The functional is PBE.

Total magnetic moment ... 6.9 μB per formula unit
Crystal system ... tetragonal
Formation energy without anion corrections ... 1.44 eV/atom
Volume ... 137 Å³/f.u.
DFT total energy ... -4.2502 eV per atom
Space group ... P4/mmm

Geometry as CIF:
```
data_FeAgTe2Mo
_chemical_formula_sum 'Fe1 Ag1 Te2 Mo1'
_cell_length_a 5.356
_cell_length_b 4.775
_cell_length_c 5.356
_cell_angle_alpha 90.00
_cell_angle_beta 90.00
_cell_angle_gamma 90.00
_space_group_name_H-M_alt 'P 1'
_space_group_IT_number 1
loop_
_space_group_symop_operation_xyz
'x,y,z'
loop_
_atom_site_label
_atom_site_type_symbol
_atom_site_fract_x
_atom_site_fract_y
_atom_site_fract_z
Mo1 Mo 0.500 0.500 0.500
Te1 Te 0.000 0.000 0.500
Te2 Te 0.500 0.000 0.000
Fe1 Fe 0.000 0.500 0.000
Ag1 Ag 0.000 0.000 0.000
```


Record 3
This record from Alexandria via LeMat-Bulk describes an optimized crystal structure of FeAgN. The functional is PBE.

Total magnetic moment ... 0.0 μB per formula unit
Crystal system ... tetragonal
Excess energy over the best structure of this formula in the dataset ... 0.00 kcal/mol of atoms
Formation energy without anion corrections ... 0.28 eV/atom
Volume ... 42 Å³/f.u.
DFT total energy ... -6.2695 eV per atom
Space group ... P4/nmm

Geometry as CIF:
```
data_FeAgN
_chemical_formula_sum 'Fe2 Ag2 N2'
_cell_length_a 3.372
_cell_length_b 3.372
_cell_length_c 7.416
_cell_angle_alpha 90.00
_cell_angle_beta 90.00
_cell_angle_gamma 90.00
_space_group_name_H-M_alt 'P 1'
_space_group_IT_number 1
loop_
_space_group_symop_operation_xyz
'x,y,z'
loop_
_atom_site_label
_atom_site_type_symbol
_atom_site_fract_x
_atom_site_fract_y
_atom_site_fract_z
Fe1 Fe 0.000 0.000 0.500
Fe2 Fe 0.500 0.500 0.500
Ag1 Ag 0.000 0.500 0.896
Ag2 Ag 0.500 0.000 0.104
N1 N 0.000 0.500 0.391
N2 N 0.500 0.000 0.609
```


Record 4
This record from Alexandria via LeMat-Bulk describes an optimized crystal structure of FeAg3N. The functional is PBE.

Total magnetic moment ... 5.2 μB per formula unit
Crystal system ... cubic
Excess energy over the best structure of this formula in the dataset ... 21.81 kcal/mol of atoms
Formation energy without anion corrections ... 1.94 eV/atom
Volume ... 120 Å³/f.u.
DFT total energy ... -3.1255 eV per atom
Space group ... Pm-3m

Geometry as CIF:
```
data_FeAg3N
_chemical_formula_sum 'Fe1 Ag3 N1'
_cell_length_a 4.926
_cell_length_b 4.926
_cell_length_c 4.926
_cell_angle_alpha 90.00
_cell_angle_beta 90.00
_cell_angle_gamma 90.00
_space_group_name_H-M_alt 'P 1'
_space_group_IT_number 1
loop_
_space_group_symop_operation_xyz
'x,y,z'
loop_
_atom_site_label
_atom_site_type_symbol
_atom_site_fract_x
_atom_site_fract_y
_atom_site_fract_z
Fe1 Fe 0.000 0.000 0.000
Ag1 Ag 0.000 0.500 0.000
Ag2 Ag 0.000 0.000 0.500
Ag3 Ag 0.500 0.000 0.000
N1 N 0.500 0.500 0.500
```


Record 5
This record from Alexandria via LeMat-Bulk describes an optimized crystal structure of FeAgN. The functional is PBE.

Total magnetic moment ... 0.2 μB per formula unit
Crystal system ... orthorhombic
Excess energy over the best structure of this formula in the dataset ... 2.14 kcal/mol of atoms
Formation energy without anion corrections ... 0.37 eV/atom
Volume ... 42 Å³/f.u.
DFT total energy ... -6.1768 eV per atom
Space group ... Pnma

Geometry as CIF:
```
data_FeAgN
_chemical_formula_sum 'Fe4 Ag4 N4'
_cell_length_a 9.050
_cell_length_b 2.961
_cell_length_c 6.300
_cell_angle_alpha 90.00
_cell_angle_beta 90.00
_cell_angle_gamma 90.00
_space_group_name_H-M_alt 'P 1'
_space_group_IT_number 1
loop_
_space_group_symop_operation_xyz
'x,y,z'
loop_
_atom_site_label
_atom_site_type_symbol
_atom_site_fract_x
_atom_site_fract_y
_atom_site_fract_z
Fe1 Fe 0.537 0.250 0.367
Fe2 Fe 0.037 0.250 0.133
Fe3 Fe 0.463 0.750 0.633
Fe4 Fe 0.963 0.750 0.867
Ag1 Ag 0.627 0.250 0.943
Ag2 Ag 0.127 0.250 0.557
Ag3 Ag 0.373 0.750 0.057
Ag4 Ag 0.873 0.750 0.443
N1 N 0.872 0.250 0.962
N2 N 0.372 0.250 0.538
N3 N 0.128 0.750 0.038
N4 N 0.628 0.750 0.462
```


Record 6
This record from Alexandria via LeMat-Bulk describes an optimized crystal structure of Fe2AgN. The functional is PBE.

Total magnetic moment ... 2.9 μB per formula unit
Crystal system ... tetragonal
Formation energy without anion corrections ... 0.31 eV/atom
Volume ... 51 Å³/f.u.
DFT total energy ... -6.7157 eV per atom
Space group ... I-42d

Geometry as CIF:
```
data_Fe2AgN
_chemical_formula_sum 'Fe4 Ag2 N2'
_cell_length_a 5.897
_cell_length_b 5.897
_cell_length_c 5.094
_cell_angle_alpha 54.63
_cell_angle_beta 54.63
_cell_angle_gamma 90.00
_space_group_name_H-M_alt 'P 1'
_space_group_IT_number 1
loop_
_space_group_symop_operation_xyz
'x,y,z'
loop_
_atom_site_label
_atom_site_type_symbol
_atom_site_fract_x
_atom_site_fract_y
_atom_site_fract_z
Fe1 Fe 0.497 0.125 0.250
Fe2 Fe 0.253 0.625 0.250
Fe3 Fe 0.375 0.503 0.750
Fe4 Fe 0.875 0.747 0.750
Ag1 Ag 0.000 0.000 0.000
Ag2 Ag 0.750 0.250 0.500
N1 N 0.500 0.500 0.000
N2 N 0.250 0.750 0.500
```


Record 7
This record from Alexandria via LeMat-Bulk describes an optimized crystal structure of FeAg3N. The functional is PBE.

Total magnetic moment ... 3.1 μB per formula unit
Crystal system ... cubic
Excess energy over the best structure of this formula in the dataset ... 0.00 kcal/mol of atoms
Formation energy without anion corrections ... 1.00 eV/atom
Volume ... 81 Å³/f.u.
DFT total energy ... -4.0711 eV per atom
Space group ... Pm-3m

Geometry as CIF:
```
data_FeAg3N
_chemical_formula_sum 'Fe1 Ag3 N1'
_cell_length_a 4.333
_cell_length_b 4.333
_cell_length_c 4.333
_cell_angle_alpha 90.00
_cell_angle_beta 90.00
_cell_angle_gamma 90.00
_space_group_name_H-M_alt 'P 1'
_space_group_IT_number 1
loop_
_space_group_symop_operation_xyz
'x,y,z'
loop_
_atom_site_label
_atom_site_type_symbol
_atom_site_fract_x
_atom_site_fract_y
_atom_site_fract_z
Fe1 Fe 0.500 0.500 0.500
Ag1 Ag 0.000 0.500 0.000
Ag2 Ag 0.000 0.000 0.500
Ag3 Ag 0.500 0.000 0.000
N1 N 0.000 0.000 0.000
```


Record 8
This record from Alexandria via LeMat-Bulk describes an optimized crystal structure of NaFeAgN. The functional is PBE.

Total magnetic moment ... 0.0 μB per formula unit
Crystal system ... tetragonal
Formation energy without anion corrections ... 0.08 eV/atom
Volume ... 66 Å³/f.u.
DFT total energy ... -5.1557 eV per atom
Space group ... P4/nmm

Geometry as CIF:
```
data_NaFeAgN
_chemical_formula_sum 'Na2 Fe2 Ag2 N2'
_cell_length_a 3.556
_cell_length_b 3.556
_cell_length_c 10.400
_cell_angle_alpha 90.00
_cell_angle_beta 90.00
_cell_angle_gamma 90.00
_space_group_name_H-M_alt 'P 1'
_space_group_IT_number 1
loop_
_space_group_symop_operation_xyz
'x,y,z'
loop_
_atom_site_label
_atom_site_type_symbol
_atom_site_fract_x
_atom_site_fract_y
_atom_site_fract_z
Na1 Na 0.750 0.750 0.242
Na2 Na 0.250 0.250 0.758
Fe1 Fe 0.750 0.250 0.000
Fe2 Fe 0.250 0.750 0.000
Ag1 Ag 0.250 0.750 0.500
Ag2 Ag 0.750 0.250 0.500
N1 N 0.750 0.750 0.924
N2 N 0.250 0.250 0.076
```


Record 9
This record from Alexandria via LeMat-Bulk describes an optimized crystal structure of Fe2NiAgN. The functional is PBE.

Total magnetic moment ... 5.3 μB per formula unit
Crystal system ... tetragonal
Formation energy without anion corrections ... 0.03 eV/atom
Volume ... 58 Å³/f.u.
DFT total energy ... -6.7474 eV per atom
Space group ... P4/mmm

Geometry as CIF:
```
data_Fe2NiAgN
_chemical_formula_sum 'Fe2 Ni1 Ag1 N1'
_cell_length_a 3.852
_cell_length_b 3.852
_cell_length_c 3.910
_cell_angle_alpha 90.00
_cell_angle_beta 90.00
_cell_angle_gamma 90.00
_space_group_name_H-M_alt 'P 1'
_space_group_IT_number 1
loop_
_space_group_symop_operation_xyz
'x,y,z'
loop_
_atom_site_label
_atom_site_type_symbol
_atom_site_fract_x
_atom_site_fract_y
_atom_site_fract_z
Ni1 Ni 0.000 0.000 0.500
Fe1 Fe 0.000 0.500 0.000
Fe2 Fe 0.500 0.000 0.000
Ag1 Ag 0.500 0.500 0.500
N1 N 0.000 0.000 0.000
```